# TmNp3Ag3S8 PBE-GGA relaxed
# * energy relative to the elements, uncorrected: -1.049 eV per atom
# * size of the total moment: 11.00 μB/f.u.
# * N(E_F): 29.74 states/eV/f.u.
data_TmNp3Ag3S8
_cell_length_a 12.8367
_cell_length_b 8.0728
_cell_length_c 7.5998
_cell_angle_alpha 90.00
_cell_angle_beta 120.91
_cell_angle_gamma 90.00
_space_group_name_H-M_alt 'C 1 2/m 1'
_space_group_IT_number 12
_space_group_name_Hall '-C 2y'
loop_
_atom_site_label
_atom_site_type_symbol
_atom_site_fract_x
_atom_site_fract_y
_atom_site_fract_z
Tm1 Tm 0.0000 0.0000 0.0000
Np1 Np 0.0000 0.5000 0.0000
Np2 Np 0.2500 0.2500 0.5000
Ag1 Ag 0.0000 0.0000 0.5000
Ag2 Ag 0.2500 0.2500 0.0000
S1 S 0.0033 0.2485 0.2440
S2 S 0.2451 0.0000 0.2530
S3 S 0.2465 0.5000 0.2545


# Tm2NpAg2S6 PBE-GGA relaxed
# * energy relative to the elements, uncorrected: -1.282 eV per atom
# * size of the total moment: 3.00 μB/f.u.
# * N(E_F): 9.71 states/eV/f.u.
data_Tm2NpAg2S6
_cell_length_a 6.8680
_cell_length_b 12.0114
_cell_length_c 6.5283
_cell_angle_alpha 90.00
_cell_angle_beta 98.98
_cell_angle_gamma 90.00
_space_group_name_H-M_alt 'C 1 2/m 1'
_space_group_IT_number 12
_space_group_name_Hall '-C 2y'
loop_
_atom_site_label
_atom_site_type_symbol
_atom_site_fract_x
_atom_site_fract_y
_atom_site_fract_z
Tm1 Tm 0.0000 0.1650 0.0000
Np1 Np 0.0000 0.5000 0.0000
Ag1 Ag 0.0000 0.3755 0.5000
S1 S 0.1986 0.3317 0.2210
S2 S 0.2042 0.0000 0.2242


The highest N(E_F) belongs to which entry? TmNp3Ag3S8


Which value of energy relative to the elements, uncorrected does entry 2 give? -1.282 eV per atom


Among the records above, which one has the highest size of the total moment? TmNp3Ag3S8